(1)
Density functional theory data (PBE) for a geometry-optimized BeAs2Ru structure.

Structure (POSCAR):
```
BeAs2Ru
1.0
2.9617 0.0000 0.0000
0.0000 2.9617 0.0000
0.0000 0.0000 7.5788
Ru Be As
1 1 2
direct
0.5000 0.5000 0.6957 Ru
0.0000 0.0000 0.5510 Be
0.5000 0.5000 0.3511 As
0.0000 0.0000 0.9022 As
```

Output
- space group = P4mm
- energy of formation (eV/atom) = -0.112
- calculated volume (Å³ per cell) = 66
- E (eV per atom) = -5.688

=====

(2)
Density functional theory data (PBE) for a geometry-optimized Pm5Sn4Ge structure.

Structure (POSCAR):
```
Pm5Sn4Ge
1.0
-3.3644 -0.3416 0.8789
-0.8283 -0.4860 -3.3595
2.8868 -22.0535 2.4784
Sn Pm Ge
4 5 1
direct
0.0000 0.0000 0.3980 Sn
0.0000 0.0000 0.1937 Sn
0.0000 0.0000 0.8063 Sn
0.0000 0.0000 0.6020 Sn
0.5000 0.5000 0.5000 Pm
0.5000 0.5000 0.7032 Pm
0.5000 0.5000 0.0884 Pm
0.5000 0.5000 0.9116 Pm
0.5000 0.5000 0.2968 Pm
0.0000 0.0000 0.0000 Ge
```

Output
- space group = P4/mmm
- energy of formation (eV/atom) = -0.672
- calculated volume (Å³ per cell) = 273
- E (eV per atom) = -5.111

=====

(3)
Density functional theory data (PBE) for a geometry-optimized Ho6GeTe3Rh2 structure.

Structure (POSCAR):
```
Ho6GeTe3Rh2
1.0
-7.0808 1.0828 -0.0077
2.6105 -6.6537 -0.4728
1.4133 1.3292 7.3370
Ho Te Rh Ge
6 3 2 1
direct
0.0697 0.4127 0.2126 Ho
0.9303 0.5873 0.7874 Ho
0.5873 0.9303 0.7874 Ho
0.4127 0.0697 0.2126 Ho
0.7292 0.7292 0.2118 Ho
0.2708 0.2708 0.7882 Ho
0.1641 0.8359 0.5000 Te
0.8359 0.1641 0.5000 Te
0.5000 0.5000 0.5000 Te
0.6665 0.3335 0.0000 Rh
0.3335 0.6665 0.0000 Rh
0.0000 0.0000 0.0000 Ge
```

Output
- space group = C2/m
- calculated volume (Å³ per cell) = 320
- energy relative to the elements, uncorrected (eV per atom) = -1.047
- E (eV per atom) = -5.731

=====

(4)
Density functional theory data (PBE) for a geometry-optimized SrLa2CoPb structure.

Structure (POSCAR):
```
SrLa2CoPb
1.0
-5.2360 -0.2579 -0.3565
0.3695 -4.8887 -1.8902
-0.2587 -2.0664 5.2939
Co Pb La Sr
1 1 2 1
direct
0.0000 0.0000 0.0000 Co
0.5000 0.5000 0.5000 Pb
0.0000 0.5000 0.0000 La
0.5000 0.0000 0.0000 La
0.0000 0.0000 0.5000 Sr
```

Output
- space group = P4/mmm
- energy of formation (eV/atom) = -0.260
- calculated volume (Å³ per cell) = 157
- energy relative to the lowest polymorph listed for this composition (meV/atom) = 0
- E (eV per atom) = -4.731

=====

(5)
Density functional theory data (PBE) for a geometry-optimized YGa2HgPd structure.

Structure (POSCAR):
```
YGa2HgPd
1.0
4.8860 0.0000 0.0000
0.0000 5.7942 0.0000
0.0000 0.0000 4.8860
Ga Hg Y Pd
2 1 1 1
direct
0.0000 0.0000 0.5000 Ga
0.5000 0.0000 0.0000 Ga
0.0000 0.0000 0.0000 Hg
0.0000 0.5000 0.0000 Y
0.5000 0.5000 0.5000 Pd
```

Output
- space group = P4/mmm
- energy of formation (eV/atom) = 0.470
- calculated volume (Å³ per cell) = 138
- E (eV per atom) = -3.133

=====

(6)
Density functional theory data (PBE) for a geometry-optimized MnWAu structure.

Structure (POSCAR):
```
MnWAu
1.0
-4.2840 -1.7048 -1.7237
-1.6888 -4.4818 1.1366
1.5159 4.3847 1.6451
W Au Mn
1 1 1
direct
0.6771 0.6771 0.0000 W
0.9975 0.9975 0.0000 Au
0.3253 0.3253 0.0000 Mn
```

Output
- space group = Imm2
- energy of formation (eV/atom) = 0.315
- calculated volume (Å³ per cell) = 46
- energy relative to the lowest polymorph listed for this composition (meV/atom) = 40
- E (eV per atom) = -8.151

=====

(7)
Density functional theory data (PBE) for a geometry-optimized Ce6Bi3H structure.

Structure (POSCAR):
```
Ce6Bi3H
1.0
-4.0594 2.2329 -1.4310
2.0961 -2.6996 -10.1584
-5.7892 -8.3700 3.3621
Bi Ce H
6 12 2
direct
0.1485 0.0659 0.2651 Bi
0.1485 0.4007 0.5993 Bi
0.6485 0.2651 0.0659 Bi
0.6485 0.5993 0.4007 Bi
0.1485 0.7349 0.9341 Bi
0.6485 0.9341 0.7349 Bi
0.1485 0.4200 0.9244 Ce
0.1485 0.7386 0.5949 Ce
0.1485 0.0756 0.5800 Ce
0.6485 0.5800 0.0756 Ce
0.6485 0.5949 0.7386 Ce
0.6485 0.2544 0.7456 Ce
0.1485 0.4051 0.2614 Ce
0.1485 0.7456 0.2544 Ce
0.6485 0.9244 0.4200 Ce
0.6485 0.2614 0.4051 Ce
0.1485 0.0701 0.9299 Ce
0.6485 0.9299 0.0701 Ce
0.6486 0.7903 0.2097 H
0.1486 0.2097 0.7903 H
```

Output
- space group = Cmcm
- calculated volume (Å³ per cell) = 545
- E (eV per atom) = -5.560

=====

(8)
Density functional theory data (PBE) for a geometry-optimized PuTiIr structure.

Structure (POSCAR):
```
PuTiIr
1.0
3.0718 0.0000 0.0000
0.0000 3.0718 0.0000
-1.5359 -1.5359 5.9783
Ir Ti Pu
1 1 1
direct
0.6388 0.6388 0.2776 Ir
0.2568 0.2568 0.5137 Ti
0.9544 0.9544 0.9087 Pu
```

Output
- space group = I4mm
- energy of formation (eV/atom) = -0.318
- calculated volume (Å³ per cell) = 56
- energy relative to the lowest polymorph listed for this composition (meV/atom) = 167
- E (eV per atom) = -10.681

=====

(9)
Density functional theory data (PBE) for a geometry-optimized ThScAl2 structure.

Structure (POSCAR):
```
ThScAl2
1.0
4.4101 0.0000 0.0000
0.0000 7.6822 0.0000
0.0000 0.0000 10.9067
Al Th Sc
8 4 4
direct
0.7500 0.0823 0.8566 Al
0.7500 0.2988 0.4735 Al
0.2500 0.2012 0.9735 Al
0.2500 0.4177 0.3566 Al
0.2500 0.9177 0.1434 Al
0.7500 0.7988 0.0265 Al
0.7500 0.5823 0.6434 Al
0.2500 0.7012 0.5265 Al
0.2500 0.7889 0.8168 Th
0.2500 0.2889 0.6832 Th
0.7500 0.2111 0.1832 Th
0.7500 0.7111 0.3168 Th
0.7500 0.9549 0.5978 Sc
0.7500 0.4549 0.9022 Sc
0.2500 0.5451 0.0978 Sc
0.2500 0.0451 0.4022 Sc
```

Output
- space group = Pnma
- energy of formation (eV/atom) = -0.345
- calculated volume (Å³ per cell) = 370
- energy relative to the lowest polymorph listed for this composition (meV/atom) = 0
- E (eV per atom) = -5.654

=====

(10)
Density functional theory data (PBE) for a geometry-optimized AlTc2Os structure.

Structure (POSCAR):
```
AlTc2Os
1.0
3.9861 0.0000 0.0000
0.0000 3.8120 0.0000
0.0000 0.0000 3.8120
Os Tc Al
1 2 1
direct
0.5000 0.0000 0.5000 Os
0.0000 0.0000 0.0000 Tc
0.0000 0.5000 0.5000 Tc
0.5000 0.5000 0.0000 Al
```

Output
- space group = P4/mmm
- energy of formation (eV/atom) = 0.079
- calculated volume (Å³ per cell) = 58
- E (eV per atom) = -8.847

=====

(11)
Density functional theory data (PBE) for a geometry-optimized LiInH3 structure.

Structure (POSCAR):
```
LiInH3
1.0
-1.1675 -2.8047 4.3108
-1.1165 -6.2500 1.1967
4.7155 -2.1087 1.1725
H In Li
6 2 2
direct
0.7096 0.2006 0.9349 H
0.3638 0.1992 0.5921 H
0.2904 0.7994 0.0651 H
0.8396 0.2572 0.4030 H
0.6362 0.8008 0.4079 H
0.1604 0.7428 0.5970 H
0.2641 0.4206 0.8146 In
0.7359 0.5794 0.1854 In
0.8169 0.9983 0.3110 Li
0.1831 0.0017 0.6890 Li
```

Output
- space group = P-1
- calculated volume (Å³ per cell) = 123
- energy relative to the lowest polymorph listed for this composition (meV/atom) = 0
- E (eV per atom) = -2.983

=====

(12)
Density functional theory data (PBE) for a geometry-optimized Nb5V structure.

Structure (POSCAR):
```
Nb5V
1.0
3.2821 0.0000 0.0000
0.0000 4.6906 0.0000
0.0000 -2.3453 6.8499
Nb V
5 1
direct
0.5000 0.8389 0.6778 Nb
0.0000 0.6647 0.3294 Nb
0.5000 0.1611 0.3222 Nb
0.5000 0.5000 0.0000 Nb
0.0000 0.3353 0.6706 Nb
0.0000 0.0000 0.0000 V
```

Output
- space group = Cmmm
- energy of formation (eV/atom) = 0.017
- calculated volume (Å³ per cell) = 105
- energy relative to the lowest polymorph listed for this composition (meV/atom) = 2
- E (eV per atom) = -9.894

=====

The lowest calculated volume belongs to which entry?
MnWAu

=====

Among the records above, which one has the highest E?
LiInH3

=====

Among the records above, which one has the lowest E?
PuTiIr